--- w ---
! Tb2Pm5Ho12 PBE relaxed; values from VASP
! crystal system = monoclinic
! magnetization = 0.000 Bohr magnetons per cell
! SG = No. 12
&SYSTEM
  ibrav = 0, nat = 19, ntyp = 3
/
ATOMIC_SPECIES
Tb 158.93 Tb.upf
Pm 145.00 Pm.upf
Ho 164.93 Ho.upf
CELL_PARAMETERS angstrom
10.178 0.000 0.000
-5.089 7.744 1.227
0.000 -1.194 7.712
ATOMIC_POSITIONS angstrom
Tb 7.750 0.000 0.000
Tb 2.428 0.000 0.000
Pm 0.000 3.178 4.555
Pm 0.000 5.356 1.462
Pm 0.000 -0.597 3.856
Pm 5.089 1.194 7.478
Pm 5.089 3.373 4.385
Ho 5.089 5.263 1.770
Ho -2.684 3.763 6.900
Ho 2.684 3.763 6.900
Ho -2.279 5.637 3.991
Ho 2.279 5.637 3.991
Ho 0.000 6.115 6.544
Ho 5.089 0.436 2.396
Ho 7.368 0.914 4.948
Ho 2.810 0.914 4.948
Ho 7.773 2.787 2.039
Ho 2.405 2.787 2.039
Ho 0.000 1.288 7.170

--- x ---
! Tb2Pm5Ho12 PBE relaxed; values from VASP
! crystal system = triclinic
! magnetization = 0.000 Bohr magnetons per cell
! SG = No. 2
&SYSTEM
  ibrav = 0, nat = 19, ntyp = 3
/
ATOMIC_SPECIES
Tb 158.93 Tb.upf
Pm 145.00 Pm.upf
Ho 164.93 Ho.upf
CELL_PARAMETERS angstrom
-6.520 0.954 -4.454
6.923 3.786 -3.688
-5.466 -11.506 -1.519
ATOMIC_POSITIONS angstrom
Tb -2.401 -5.657 -6.930
Tb -2.662 -1.109 -2.732
Pm -1.452 -4.313 -3.754
Pm 2.982 1.224 -3.431
Pm -2.733 -5.753 -0.760
Pm -8.045 -7.991 -6.231
Pm -3.611 -2.454 -5.907
Ho -7.025 -2.014 -5.033
Ho -0.246 -7.506 -4.779
Ho 0.839 3.088 -5.581
Ho 0.751 -1.534 -3.595
Ho -1.371 0.321 -5.716
Ho -0.168 -2.879 -6.750
Ho -4.895 -3.888 -2.912
Ho -5.814 -5.232 -6.066
Ho -3.692 -7.087 -3.945
Ho -4.817 0.739 -4.882
Ho -5.901 -9.855 -4.080
Ho 1.962 -4.753 -4.628

How do the energies compare? Relative to the most stable structure, in meV per atom: w 114; x 0.

--- w ---
! Tb3Pm4Ho4 PBE relaxed; values from VASP
! crystal system = orthorhombic
! magnetization = 0.000 Bohr magnetons per cell
! SG = No. 71
&SYSTEM
  ibrav = 0, nat = 11, ntyp = 3
/
ATOMIC_SPECIES
Tb 158.93 Tb.upf
Pm 145.00 Pm.upf
Ho 164.93 Ho.upf
CELL_PARAMETERS angstrom
3.518 0.000 0.002
0.000 5.662 0.003
1.750 2.814 17.889
ATOMIC_POSITIONS angstrom
Tb 1.754 5.650 13.033
Tb 3.515 2.826 4.862
Tb 0.000 0.000 0.000
Pm 3.511 2.818 14.655
Pm 1.756 2.823 8.321
Pm 3.513 5.653 9.573
Pm 1.758 5.658 3.240
Ho 3.512 5.648 16.269
Ho 1.757 2.829 1.626
Ho 1.755 5.656 6.464
Ho 3.514 2.821 11.430

--- x ---
! Tb3Pm4Ho4 PBE relaxed; values from VASP
! crystal system = orthorhombic
! magnetization = 0.000 Bohr magnetons per cell
! SG = No. 71
&SYSTEM
  ibrav = 0, nat = 11, ntyp = 3
/
ATOMIC_SPECIES
Tb 158.93 Tb.upf
Pm 145.00 Pm.upf
Ho 164.93 Ho.upf
CELL_PARAMETERS angstrom
3.484 0.000 -0.642
-1.018 9.813 -5.524
0.209 -0.350 10.912
ATOMIC_POSITIONS angstrom
Tb 2.364 8.478 3.054
Tb 0.312 0.985 1.692
Tb -0.509 4.907 -2.762
Pm 2.569 2.614 4.170
Pm 0.106 6.849 0.576
Pm 0.941 7.724 -4.669
Pm 1.525 2.090 -1.497
Ho 1.982 4.032 0.983
Ho 1.199 0.548 6.512
Ho 0.693 5.431 3.763
Ho 1.476 8.915 -1.765

How do the energies compare? Relative to the most stable structure, in meV per atom: w 0; x 113.

--- w ---
! Tb12Pm6Ho PBE relaxed; values from VASP
! crystal system = trigonal
! magnetization = 0.001 Bohr magnetons per cell
! SG = No. 166
&SYSTEM
  ibrav = 0, nat = 19, ntyp = 3
/
ATOMIC_SPECIES
Tb 158.93 Tb.upf
Pm 145.00 Pm.upf
Ho 164.93 Ho.upf
CELL_PARAMETERS angstrom
-6.627 4.326 5.071
-0.654 -9.218 1.718
8.363 2.906 3.158
ATOMIC_POSITIONS angstrom
Tb -1.783 4.278 6.278
Tb 0.496 1.552 2.731
Tb -1.635 -1.313 2.390
Tb -0.825 -0.337 8.009
Tb 2.717 -0.673 7.557
Tb 0.586 -3.538 7.217
Tb -2.968 -5.711 4.414
Tb 6.374 -1.545 4.229
Tb 2.865 -6.264 3.669
Tb 4.050 3.725 5.534
Tb -5.292 -0.440 5.718
Tb 1.907 -1.649 1.938
Pm 0.980 2.176 6.061
Pm -2.460 -2.449 5.512
Pm 3.258 -2.991 4.782
Pm 3.541 0.464 4.435
Pm 0.102 -4.161 3.886
Pm -2.176 1.005 5.165
Ho 0.000 0.000 0.000

--- x ---
! Tb12Pm6Ho PBE relaxed; values from VASP
! crystal system = trigonal
! magnetization = 0.000 Bohr magnetons per cell
! SG = No. 148
&SYSTEM
  ibrav = 0, nat = 19, ntyp = 3
/
ATOMIC_SPECIES
Tb 158.93 Tb.upf
Pm 145.00 Pm.upf
Ho 164.93 Ho.upf
CELL_PARAMETERS angstrom
-4.126 3.732 6.546
1.353 -6.864 4.986
7.341 3.365 2.929
ATOMIC_POSITIONS angstrom
Tb 0.744 0.665 9.047
Tb 3.202 -1.873 8.312
Tb 4.059 1.617 7.984
Tb 3.824 -0.432 5.414
Tb 1.366 2.107 6.149
Tb 0.509 -1.384 6.476
Tb 2.828 -0.137 2.145
Tb 4.816 1.874 11.320
Tb 4.533 -1.678 11.467
Tb 1.740 0.370 12.316
Tb -0.248 -1.641 3.141
Tb 0.035 1.911 2.994
Pm 0.435 -2.434 10.281
Pm -1.832 1.110 6.089
Pm 2.462 -3.534 4.808
Pm 4.133 2.668 4.180
Pm 6.400 -0.876 8.371
Pm 2.106 3.768 9.653
Ho 0.000 0.000 0.000

How do the energies compare? Relative to the most stable structure, in meV per atom: w 311; x 0.

--- w ---
! TbPm2Ho2 PBE relaxed; values from VASP
! crystal system = tetragonal
! magnetization = 0.002 Bohr magnetons per cell
! SG = No. 139
&SYSTEM
  ibrav = 0, nat = 5, ntyp = 3
/
ATOMIC_SPECIES
Tb 158.93 Tb.upf
Pm 145.00 Pm.upf
Ho 164.93 Ho.upf
CELL_PARAMETERS angstrom
4.580 0.000 0.000
0.000 4.580 0.000
-2.290 -2.290 8.213
ATOMIC_POSITIONS angstrom
Tb 0.000 0.000 0.000
Pm 2.290 0.000 4.107
Pm 0.000 2.290 4.107
Ho 0.000 0.000 6.683
Ho 2.290 2.290 1.530

--- x ---
! TbPm2Ho2 PBE relaxed; values from VASP
! crystal system = monoclinic
! magnetization = 0.000 Bohr magnetons per cell
! SG = No. 12
&SYSTEM
  ibrav = 0, nat = 5, ntyp = 3
/
ATOMIC_SPECIES
Tb 158.93 Tb.upf
Pm 145.00 Pm.upf
Ho 164.93 Ho.upf
CELL_PARAMETERS angstrom
3.469 0.000 0.916
1.733 3.106 0.466
-1.984 -3.130 14.537
ATOMIC_POSITIONS angstrom
Tb 1.609 -0.012 7.960
Pm 1.348 1.042 1.921
Pm 1.870 -1.066 13.998
Ho 0.879 -2.092 10.724
Ho 2.339 2.068 5.195

How do the energies compare? Relative to the most stable structure, in meV per atom: w 349; x 0.

--- w ---
! Tb2Pm3Ho6 PBE relaxed; values from VASP
! crystal system = tetragonal
! magnetization = 0.000 Bohr magnetons per cell
! SG = No. 139
&SYSTEM
  ibrav = 0, nat = 11, ntyp = 3
/
ATOMIC_SPECIES
Tb 158.93 Tb.upf
Pm 145.00 Pm.upf
Ho 164.93 Ho.upf
CELL_PARAMETERS angstrom
-1.364 -4.187 -1.759
3.198 0.419 -3.476
10.374 -5.770 12.081
ATOMIC_POSITIONS angstrom
Tb 10.251 -6.949 8.591
Tb 1.957 -2.589 -1.746
Pm 0.000 0.000 0.000
Pm 7.630 -6.434 3.008
Pm 4.579 -3.104 3.837
Ho 4.324 -1.638 0.546
Ho 2.044 -3.941 1.405
Ho 7.884 -7.900 6.299
Ho 10.164 -5.597 5.441
Ho 5.288 -4.847 1.046
Ho 6.920 -4.691 5.800

--- x ---
! Tb2Pm3Ho6 PBE relaxed; values from VASP
! crystal system = monoclinic
! magnetization = 0.002 Bohr magnetons per cell
! SG = No. 12
&SYSTEM
  ibrav = 0, nat = 11, ntyp = 3
/
ATOMIC_SPECIES
Tb 158.93 Tb.upf
Pm 145.00 Pm.upf
Ho 164.93 Ho.upf
CELL_PARAMETERS angstrom
5.886 0.000 1.767
2.943 5.336 0.884
-1.272 0.000 11.522
ATOMIC_POSITIONS angstrom
Tb 2.307 3.563 6.644
Tb 5.250 1.773 7.528
Pm 0.000 0.000 0.000
Pm 2.943 1.755 0.884
Pm 5.886 3.581 1.767
Ho 3.473 3.558 9.932
Ho 3.470 0.000 9.937
Ho 0.530 1.778 9.049
Ho 1.143 0.000 3.352
Ho 4.083 1.778 4.240
Ho 7.026 3.558 5.124

How do the energies compare? Relative to the most stable structure, in meV per atom: w 75; x 0.

--- w ---
! Tb6PmHo4 PBE relaxed; values from VASP
! crystal system = orthorhombic
! magnetization = 0.000 Bohr magnetons per cell
! SG = No. 63
&SYSTEM
  ibrav = 0, nat = 22, ntyp = 3
/
ATOMIC_SPECIES
Tb 158.93 Tb.upf
Pm 145.00 Pm.upf
Ho 164.93 Ho.upf
CELL_PARAMETERS angstrom
5.735 0.000 0.000
-2.868 4.802 0.000
0.000 0.000 25.622
ATOMIC_POSITIONS angstrom
Tb 2.868 0.000 0.000
Tb 2.868 0.000 12.811
Tb 0.000 1.263 8.177
Tb 2.868 3.539 17.445
Tb 2.868 3.539 20.988
Tb 0.000 1.263 4.634
Tb 2.868 2.893 10.196
Tb 0.000 1.910 15.426
Tb 0.000 1.910 23.008
Tb 2.868 2.893 2.615
Tb 0.000 4.476 6.406
Tb 2.868 0.326 19.217
Pm 2.868 2.893 6.406
Pm 0.000 1.909 19.217
Ho 2.868 3.337 13.902
Ho 0.000 4.419 3.113
Ho 0.000 1.465 11.720
Ho 2.868 0.383 22.510
Ho 2.868 3.337 24.532
Ho 0.000 1.465 1.091
Ho 2.868 0.383 15.924
Ho 0.000 4.419 9.699

--- x ---
! Tb6PmHo4 PBE relaxed; values from VASP
! crystal system = tetragonal
! magnetization = 0.000 Bohr magnetons per cell
! SG = No. 121
&SYSTEM
  ibrav = 0, nat = 11, ntyp = 3
/
ATOMIC_SPECIES
Tb 158.93 Tb.upf
Pm 145.00 Pm.upf
Ho 164.93 Ho.upf
CELL_PARAMETERS angstrom
7.551 0.000 0.000
0.000 7.551 0.000
-3.775 -3.775 6.620
ATOMIC_POSITIONS angstrom
Tb 5.567 1.984 2.471
Tb 1.984 5.567 2.471
Tb 1.792 1.792 4.148
Tb 0.000 3.775 0.000
Tb -1.792 -1.792 4.148
Tb 3.775 0.000 0.000
Pm 3.775 3.775 0.000
Ho -2.540 2.540 5.578
Ho 6.315 6.315 1.042
Ho 2.540 -2.540 5.578
Ho 1.235 1.235 1.042

How do the energies compare? Relative to the most stable structure, in meV per atom: w 0; x 297.

--- w ---
! Tb3Pm2Ho4 PBE relaxed; values from VASP
! crystal system = triclinic
! magnetization = 0.000 Bohr magnetons per cell
! SG = No. 2
&SYSTEM
  ibrav = 0, nat = 9, ntyp = 3
/
ATOMIC_SPECIES
Tb 158.93 Tb.upf
Pm 145.00 Pm.upf
Ho 164.93 Ho.upf
CELL_PARAMETERS angstrom
-2.461 -5.656 0.037
6.127 0.695 -0.314
-6.448 6.218 9.184
ATOMIC_POSITIONS angstrom
Tb -4.988 1.079 6.121
Tb 0.000 0.000 0.000
Tb 2.206 0.179 2.786
Pm -0.662 -1.939 2.905
Pm -2.119 3.197 6.002
Ho 0.407 -3.541 -0.080
Ho -3.188 4.799 8.987
Ho -1.720 -0.339 5.921
Ho -1.061 1.597 2.986

--- x ---
! Tb3Pm2Ho4 PBE relaxed; values from VASP
! crystal system = monoclinic
! magnetization = 0.000 Bohr magnetons per cell
! SG = No. 15
&SYSTEM
  ibrav = 0, nat = 18, ntyp = 3
/
ATOMIC_SPECIES
Tb 158.93 Tb.upf
Pm 145.00 Pm.upf
Ho 164.93 Ho.upf
CELL_PARAMETERS angstrom
5.785 1.636 1.171
2.300 11.004 0.753
2.300 4.259 10.174
ATOMIC_POSITIONS angstrom
Tb 5.195 3.112 3.618
Tb 8.082 13.289 10.904
Tb 5.190 13.787 8.481
Tb 2.302 3.610 1.195
Tb 3.746 8.698 4.839
Tb 6.639 8.201 7.261
Pm 4.183 5.483 5.967
Pm 3.309 8.666 8.246
Pm 6.202 11.416 6.132
Pm 7.075 8.233 3.853
Ho 4.962 11.454 3.076
Ho 2.530 9.478 1.662
Ho 5.423 5.445 9.023
Ho 7.854 7.420 10.437
Ho 1.789 3.535 4.507
Ho 5.703 10.675 9.619
Ho 8.596 13.364 7.592
Ho 4.681 6.224 2.480

How do the energies compare? Relative to the most stable structure, in meV per atom: w 0; x 79.

--- w ---
! TbPm5Ho4 PBE relaxed; values from VASP
! crystal system = orthorhombic
! magnetization = 0.000 Bohr magnetons per cell
! SG = No. 59
&SYSTEM
  ibrav = 0, nat = 20, ntyp = 3
/
ATOMIC_SPECIES
Tb 158.93 Tb.upf
Pm 145.00 Pm.upf
Ho 164.93 Ho.upf
CELL_PARAMETERS angstrom
-1.962 3.417 -4.280
3.517 -6.982 -7.186
-9.369 -5.017 0.289
ATOMIC_POSITIONS angstrom
Tb -1.271 2.215 -2.774
Tb -3.616 -4.797 -4.955
Pm -5.225 -9.525 -6.472
Pm -7.612 -4.788 -1.596
Pm 1.757 -3.489 -3.596
Pm 1.134 -6.120 -6.668
Pm -1.253 -1.383 -1.792
Pm -2.504 -3.445 -8.247
Pm -3.635 -1.200 -5.936
Pm -6.645 0.906 -4.132
Pm -6.645 -2.812 -5.844
Pm -5.514 -5.057 -8.154
Ho -7.821 -1.373 -2.494
Ho 1.234 -2.751 -7.743
Ho -0.189 0.074 -4.836
Ho -4.020 0.662 -2.611
Ho -0.868 -3.245 -5.117
Ho -2.605 -6.814 -7.172
Ho -4.699 -2.657 -2.893
Ho -6.435 -6.227 -4.946

--- x ---
! TbPm5Ho4 PBE relaxed; values from VASP
! crystal system = monoclinic
! magnetization = 0.000 Bohr magnetons per cell
! SG = No. 12
&SYSTEM
  ibrav = 0, nat = 10, ntyp = 3
/
ATOMIC_SPECIES
Tb 158.93 Tb.upf
Pm 145.00 Pm.upf
Ho 164.93 Ho.upf
CELL_PARAMETERS angstrom
-3.129 0.352 1.647
-1.244 -11.402 0.071
4.993 -3.295 6.360
ATOMIC_POSITIONS angstrom
Tb -1.564 0.176 0.823
Pm 0.965 -5.696 3.051
Pm 0.146 -11.699 2.777
Pm 0.474 -2.646 5.301
Pm -2.186 -5.525 0.859
Pm -0.345 -8.649 5.026
Ho -1.100 -2.791 2.338
Ho 0.933 -5.739 6.835
Ho 1.720 -11.554 5.739
Ho -0.313 -8.606 1.243

How do the energies compare? Relative to the most stable structure, in meV per atom: w 168; x 0.

--- w ---
! TbPm8Ho2 PBE relaxed; values from VASP
! crystal system = monoclinic
! magnetization = 0.000 Bohr magnetons per cell
! SG = No. 12
&SYSTEM
  ibrav = 0, nat = 11, ntyp = 3
/
ATOMIC_SPECIES
Tb 158.93 Tb.upf
Pm 145.00 Pm.upf
Ho 164.93 Ho.upf
CELL_PARAMETERS angstrom
-5.664 2.087 2.912
-9.176 -2.278 -4.205
-8.033 -6.445 1.007
ATOMIC_POSITIONS angstrom
Tb 0.000 0.000 0.000
Pm -11.145 -5.636 0.034
Pm -11.183 -2.983 2.163
Pm -13.966 -6.233 -1.919
Pm -8.906 -0.402 1.633
Pm -11.690 -3.652 -2.448
Pm -11.727 -0.999 -0.320
Pm -14.318 -3.657 0.218
Pm -8.554 -2.978 -0.504
Ho -17.138 -5.758 -0.843
Ho -5.735 -0.877 0.557

--- x ---
! TbPm8Ho2 PBE relaxed; values from VASP
! crystal system = monoclinic
! magnetization = 0.000 Bohr magnetons per cell
! SG = No. 12
&SYSTEM
  ibrav = 0, nat = 11, ntyp = 3
/
ATOMIC_SPECIES
Tb 158.93 Tb.upf
Pm 145.00 Pm.upf
Ho 164.93 Ho.upf
CELL_PARAMETERS angstrom
7.858 1.619 3.048
2.880 7.543 4.585
2.386 2.195 8.701
ATOMIC_POSITIONS angstrom
Tb 0.000 0.000 0.000
Pm 4.558 4.793 9.455
Pm 8.328 3.988 8.862
Pm 6.191 7.687 10.732
Pm 6.934 3.670 5.602
Pm 4.797 7.369 7.472
Pm 8.566 6.564 6.879
Pm 9.300 7.181 10.448
Pm 3.825 4.176 5.886
Ho 8.704 9.181 12.975
Ho 4.420 2.176 3.359

How do the energies compare? Relative to the most stable structure, in meV per atom: w 0; x 40.